DFT (GGA-PBE) results for a relaxed MgTcS2N crystal.

Summary:
E_form (uncorrected): 1.038 eV per atom
Volume: 90.28 Å³ per cell

a b c (Å): 4.804 4.804 3.911
angles (deg): 90.00 90.00 90.00
Space group P4/mmm (No. 123)
Symmetry-distinct sites (fractional):
Mg (0.000, 0.000, 0.000) [1 per cell]
Tc (0.500, 0.500, 0.500) [1 per cell]
S (0.000, 0.500, 0.000) [2 per cell]
N (0.000, 0.000, 0.500) [1 per cell]